Material: MnRe3O
Method: DFT, GGA+U
State: relaxed

The structure belongs to space group Pm-3m (No. 221); the cell edges are 4.406, 4.406 and 4.406 Å and the angles 90.00°, 90.00° and 90.00°. The inequivalent atoms are Mn at (0.000, 0.000, 0.000), Re at (0.000, 0.000, 0.500) and O at (0.500, 0.500, 0.500).

As for the electronic total energy: -7.131 eV/atom. The relative energy among the computed polymorphs comes out at 2276.1 meV/atom.